RbTi PBE relaxed; DOS(E_F) = 16.086 states/eV per cell; ρ = 2.36 g/cm3; crystal system = orthorhombic; energy = -3.447 eV per atom; space-group type = Pmmn, No. 59
1.0
4.218 0.000 0.000
0.000 17.748 0.000
0.000 0.000 7.511
Rb Ti
6 6
Direct
0.250 0.044 0.244 Rb
0.250 0.456 0.244 Rb
0.250 0.750 0.555 Rb
0.750 0.250 0.445 Rb
0.750 0.544 0.756 Rb
0.750 0.956 0.756 Rb
0.250 0.250 0.976 Ti
0.250 0.678 0.085 Ti
0.250 0.822 0.085 Ti
0.750 0.178 0.915 Ti
0.750 0.322 0.915 Ti
0.750 0.750 0.024 Ti